No. 1
This record from Alexandria describes an optimized crystal structure of HfTi2MoCl. The functional is PBE.

Properties
DOS at the Fermi energy	1.352	states/eV/atom
ΔE_f (raw)	1545	meV/atom

a = 5.0846 Å, b = 4.7546 Å, c = 5.0846 Å
α = 90.00°, β = 90.00°, γ = 90.00°
Last column: nearest neighbours and their distance in Å.
Positions (direct):
Mo: 0.0000 0.5000 0.0000  2 Hf 2.38
Cl: 0.5000 0.5000 0.5000  8 Ti 3.48, 4 Mo 3.60
Hf: 0.0000 0.0000 0.0000  2 Mo 2.38, 4 Ti 2.54
Ti: 0.0000 0.0000 0.5000  2 Hf 2.54
Ti: 0.5000 0.0000 0.0000  2 Hf 2.54



No. 2
This record from Alexandria describes an optimized crystal structure of Hf2TlMoCl. The functional is PBE.

Properties
DOS at the Fermi energy	1.282	states/eV/atom
ΔE_f (raw)	1988	meV/atom

a = 5.3590 Å, b = 5.0354 Å, c = 5.3590 Å
α = 90.00°, β = 90.00°, γ = 90.00°
Last column: nearest neighbours and their distance in Å.
Positions (direct):
Tl: 0.0000 0.0000 0.0000  2 Cl 2.52, 4 Hf 2.68
Hf: 0.0000 0.0000 0.5000  2 Tl 2.68
Hf: 0.5000 0.0000 0.0000  2 Tl 2.68
Mo: 0.5000 0.5000 0.5000  8 Hf 3.68, 4 Cl 3.79
Cl: 0.0000 0.5000 0.0000  2 Tl 2.52



No. 3
This record from Alexandria describes an optimized crystal structure of Hf2MoWCl. The functional is PBE.

Properties
DOS at the Fermi energy	0.810	states/eV/atom
ΔE_f (raw)	818	meV/atom

a = 4.6891 Å, b = 4.3584 Å, c = 4.6891 Å
α = 90.00°, β = 90.00°, γ = 90.00°
Last column: nearest neighbours and their distance in Å.
Positions (direct):
Mo: 0.5000 0.5000 0.5000  8 Hf 3.20, 4 W 3.32
Hf: 0.0000 0.0000 0.5000  2 Cl 2.34
Hf: 0.5000 0.0000 0.0000  2 Cl 2.34
W: 0.0000 0.5000 0.0000  2 Cl 2.18
Cl: 0.0000 0.0000 0.0000  2 W 2.18, 4 Hf 2.34



No. 4
This record from Alexandria describes an optimized crystal structure of Hf3NCl. The functional is PBE.

Properties
DOS at the Fermi energy	0.894	states/eV/atom
ΔE_f (raw)	-169	meV/atom

a = 4.4691 Å, b = 4.4691 Å, c = 4.4691 Å
α = 90.00°, β = 90.00°, γ = 90.00°
Last column: nearest neighbours and their distance in Å.
Positions (direct):
N: 0.0000 0.0000 0.0000  6 Hf 2.23
Hf: 0.0000 0.5000 0.0000  2 N 2.23
Hf: 0.0000 0.0000 0.5000  2 N 2.23
Hf: 0.5000 0.0000 0.0000  2 N 2.23
Cl: 0.5000 0.5000 0.5000  12 Hf 3.16



No. 5
This record from Alexandria describes an optimized crystal structure of HfNCl. The functional is PBE.

Properties
DOS at the Fermi energy	0.000	states/eV/atom
ΔE_f (raw)	-1875	meV/atom

a = 10.1775 Å, b = 10.1775 Å, c = 10.1775 Å
α = 20.31°, β = 20.31°, γ = 20.31°
Last column: nearest neighbours and their distance in Å.
Positions (direct):
Cl: 0.6042 0.6042 0.6042  3 Hf 2.75, 3 N 3.06
Cl: 0.3958 0.3958 0.3958  3 Hf 2.75, 3 N 3.06
Hf: 0.8769 0.8769 0.8769  4 N 2.12-2.16
Hf: 0.1231 0.1231 0.1231  4 N 2.12-2.16
N: 0.8045 0.8045 0.8045  4 Hf 2.12-2.16
N: 0.1955 0.1955 0.1955  4 Hf 2.12-2.16



No. 6
This record from Alexandria describes an optimized crystal structure of Hf2NCl2. The functional is PBE.

Properties
DOS at the Fermi energy	0.767	states/eV/atom
ΔE_f (raw)	391	meV/atom

a = 7.1132 Å, b = 7.1132 Å, c = 3.0882 Å
α = 90.00°, β = 90.00°, γ = 90.00°
Last column: nearest neighbours and their distance in Å.
Positions (direct):
N: 0.0000 0.0000 0.0000  4 Cl 2.79, 8 Hf 3.05, 2 N 3.09
N: 0.5000 0.5000 0.0000  4 Cl 2.79, 8 Hf 3.05, 2 N 3.09
Hf: 0.1731 0.6731 0.5000  6 Cl 2.50-2.67
Hf: 0.6731 0.8269 0.5000  6 Cl 2.50-2.67
Hf: 0.8269 0.3269 0.5000  6 Cl 2.50-2.67
Hf: 0.3269 0.1731 0.5000  6 Cl 2.50-2.67
Cl: 0.3691 0.8691 0.0000  6 Hf 2.50-2.67, 1 Cl 2.63, 2 N 2.79
Cl: 0.8691 0.6309 0.0000  6 Hf 2.50-2.67, 1 Cl 2.63, 2 N 2.79
Cl: 0.6309 0.1309 0.0000  6 Hf 2.50-2.67, 1 Cl 2.63, 2 N 2.79
Cl: 0.1309 0.3691 0.0000  6 Hf 2.50-2.67, 1 Cl 2.63, 2 N 2.79



No. 7
This record from Alexandria describes an optimized crystal structure of HfNCl2. The functional is PBE.

Properties
DOS at the Fermi energy	0.342	states/eV/atom
ΔE_f (raw)	252	meV/atom

a = 10.5076 Å, b = 10.5076 Å, c = 10.5076 Å
α = 17.98°, β = 17.98°, γ = 17.98°
Last column: nearest neighbours and their distance in Å.
Positions (direct):
N: 0.0000 0.0000 0.0000  6 N 3.28, 2 Cl 3.37
Hf: 0.5000 0.5000 0.5000  6 Cl 2.61
Cl: 0.8913 0.8913 0.8913  3 Hf 2.61
Cl: 0.1087 0.1087 0.1087  3 Hf 2.61



No. 8
This record from Alexandria describes an optimized crystal structure of HfNCl3. The functional is PBE.

Properties
DOS at the Fermi energy	1.149	states/eV/atom
ΔE_f (raw)	952	meV/atom

a = 4.3864 Å, b = 4.3864 Å, c = 4.3864 Å
α = 90.00°, β = 90.00°, γ = 90.00°
Last column: nearest neighbours and their distance in Å.
Positions (direct):
N: 0.0000 0.0000 0.0000  6 Cl 2.19
Hf: 0.5000 0.5000 0.5000  12 Cl 3.10
Cl: 0.0000 0.5000 0.0000  2 N 2.19
Cl: 0.0000 0.0000 0.5000  2 N 2.19
Cl: 0.5000 0.0000 0.0000  2 N 2.19



- What is the formula in the fifth record?
  HfNCl



Please write out number 5 again, unchanged.
This record from Alexandria describes an optimized crystal structure of HfNCl. The functional is PBE.

Properties
DOS at the Fermi energy	0.000	states/eV/atom
ΔE_f (raw)	-1875	meV/atom

a = 10.1775 Å, b = 10.1775 Å, c = 10.1775 Å
α = 20.31°, β = 20.31°, γ = 20.31°
Last column: nearest neighbours and their distance in Å.
Positions (direct):
Cl: 0.6042 0.6042 0.6042  3 Hf 2.75, 3 N 3.06
Cl: 0.3958 0.3958 0.3958  3 Hf 2.75, 3 N 3.06
Hf: 0.8769 0.8769 0.8769  4 N 2.12-2.16
Hf: 0.1231 0.1231 0.1231  4 N 2.12-2.16
N: 0.8045 0.8045 0.8045  4 Hf 2.12-2.16
N: 0.1955 0.1955 0.1955  4 Hf 2.12-2.16



- Among the records above, which one has the highest DOS at the Fermi energy?
  HfTi2MoCl



- Look up the DOS at the Fermi energy of the seventh one.
  0.342 states/eV/atom